VASP calculation (PBE-GGA) on an optimized crystal structure of RePdS2.

Lattice parameters (Å, degrees): 3.1066 3.1066 23.5907 90.00 90.00 120.00
Space group R-3m (No. 166, hexagonal axes)
Asymmetric unit:
Re  0.0000  0.0000  0.0000 [3 per cell]
Pd  0.0000  0.0000  0.5000 [3 per cell]
S  0.0000  0.0000  0.4021 [6 per cell]

Electronic total energy in eV per cell: -79.39
ΔE to the lowest computed polymorph in eV per atom: 0.032
ΔE_f (raw) in meV/atom: -142